Record 1
CoCuPO2 after structural relaxation. Source: Alexandria, functional PBE+U.

The structure in CIF format:
```
data_CoCuPO2
_chemical_formula_sum 'Co1 Cu1 P1 O2'
_cell_length_a 3.520
_cell_length_b 3.520
_cell_length_c 5.093
_cell_angle_alpha 90.00
_cell_angle_beta 90.00
_cell_angle_gamma 90.00
_space_group_name_H-M_alt 'P 4/m m m'
_space_group_IT_number 123
_space_group_name_Hall '-P 4 2'
loop_
_atom_site_label
_atom_site_type_symbol
_atom_site_fract_x
_atom_site_fract_y
_atom_site_fract_z
Co1 Co 0.000 0.000 0.000
Cu1 Cu 0.500 0.500 0.500
P1 P 0.000 0.000 0.500
O1 O 0.000 0.500 0.000
```


Record 2
CoCuPO2 after structural relaxation. Source: Alexandria, functional PBE+U.

The structure in CIF format:
```
data_CoCuPO2
_chemical_formula_sum 'Co1 Cu1 P1 O2'
_cell_length_a 3.635
_cell_length_b 3.635
_cell_length_c 4.989
_cell_angle_alpha 90.00
_cell_angle_beta 90.00
_cell_angle_gamma 90.00
_space_group_name_H-M_alt 'P 4/m m m'
_space_group_IT_number 123
_space_group_name_Hall '-P 4 2'
loop_
_atom_site_label
_atom_site_type_symbol
_atom_site_fract_x
_atom_site_fract_y
_atom_site_fract_z
Co1 Co 0.000 0.000 0.000
Cu1 Cu 0.500 0.500 0.500
P1 P 0.500 0.500 0.000
O1 O 0.000 0.500 0.500
```


Record 3
CoCuP2O7 after structural relaxation. Source: Alexandria, functional PBE+U.

The structure in CIF format:
```
data_CoCuP2O7
_chemical_formula_sum 'Co1 Cu1 P2 O7'
_cell_length_a 4.642
_cell_length_b 5.259
_cell_length_c 5.547
_cell_angle_alpha 100.53
_cell_angle_beta 102.18
_cell_angle_gamma 101.37
_space_group_name_H-M_alt 'P 1'
_space_group_IT_number 1
loop_
_space_group_symop_operation_xyz
'x,y,z'
loop_
_atom_site_label
_atom_site_type_symbol
_atom_site_fract_x
_atom_site_fract_y
_atom_site_fract_z
Co1 Co 0.000 0.000 0.000
Cu1 Cu 0.024 0.338 0.584
P1 P 0.437 0.854 0.483
P2 P 0.614 0.450 0.074
O1 O 0.251 0.701 0.631
O2 O 0.262 0.015 0.335
O3 O 0.303 0.278 0.901
O4 O 0.538 0.637 0.298
O5 O 0.742 0.038 0.656
O6 O 0.791 0.616 0.933
O7 O 0.801 0.275 0.206
```


Record 4
CoCuP2O8 after structural relaxation. Source: Alexandria, functional PBE+U.

The structure in CIF format:
```
data_CoCuP2O8
_chemical_formula_sum 'Co2 Cu2 P4 O16'
_cell_length_a 5.004
_cell_length_b 5.931
_cell_length_c 10.168
_cell_angle_alpha 90.00
_cell_angle_beta 96.10
_cell_angle_gamma 90.00
_space_group_name_H-M_alt 'P 1 21/m 1'
_space_group_IT_number 11
loop_
_space_group_symop_operation_xyz
'x,y,z'
'-x,-y,-z'
'-x,y+1/2,-z'
'x,-y+1/2,z'
loop_
_atom_site_label
_atom_site_type_symbol
_atom_site_fract_x
_atom_site_fract_y
_atom_site_fract_z
Co1 Co 0.062 0.250 0.295
Cu1 Cu 0.347 0.250 0.809
P1 P 0.102 0.750 0.402
P2 P 0.448 0.750 0.890
O1 O 0.153 0.750 0.553
O2 O 0.209 0.250 0.635
O3 O 0.225 0.537 0.342
O4 O 0.259 0.250 0.134
O5 O 0.268 0.556 0.820
O6 O 0.412 0.750 0.039
```


Record 5
PaCoCuO6 after structural relaxation. Source: Alexandria, functional PBE+U.

The structure in CIF format:
```
data_PaCoCuO6
_chemical_formula_sum 'Pa1 Co1 Cu1 O6'
_cell_length_a 4.9950
_cell_length_b 4.9950
_cell_length_c 4.7374
_cell_angle_alpha 90.00
_cell_angle_beta 90.00
_cell_angle_gamma 120.00
_space_group_name_H-M_alt 'P 3 1 2'
_space_group_IT_number 149
loop_
_space_group_symop_operation_xyz
'x,y,z'
'-y,x-y,z'
'-x+y,-x,z'
'-y,-x,-z'
'-x+y,y,-z'
'x,x-y,-z'
loop_
_atom_site_label
_atom_site_type_symbol
_atom_site_fract_x
_atom_site_fract_y
_atom_site_fract_z
Pa1 Pa 0.0000 0.0000 0.0000
Co1 Co 0.6667 0.3333 0.5000
Cu1 Cu 0.3333 0.6667 0.5000
O1 O 0.3603 0.0159 0.7233
```


Record 6
PaCoCu2O8 after structural relaxation. Source: Alexandria, functional PBE+U.

The structure in CIF format:
```
data_PaCoCu2O8
_chemical_formula_sum 'Pa2 Co2 Cu4 O16'
_cell_length_a 6.742
_cell_length_b 6.742
_cell_length_c 6.441
_cell_angle_alpha 90.00
_cell_angle_beta 90.00
_cell_angle_gamma 90.00
_space_group_name_H-M_alt 'I -4 m 2'
_space_group_IT_number 119
_space_group_name_Hall 'I -4 -2'
loop_
_atom_site_label
_atom_site_type_symbol
_atom_site_fract_x
_atom_site_fract_y
_atom_site_fract_z
Pa1 Pa 0.000 0.000 0.000
Co1 Co 0.000 0.500 0.750
Cu1 Cu 0.000 0.000 0.500
Cu2 Cu 0.000 0.500 0.250
O1 O 0.000 0.191 0.705
O2 O 0.000 0.329 0.026
```


Here are the calculated raw total energy numbers, same order: -24.27; -22.51; -73.37; -155.91; -63.34; -149.62 (eV for the cell shown).